--- 1 ---
Here is a geometry-optimized TlCr2Ru structure from Alexandria. Energies are from GGA-PBE.

POSCAR file:
```
TlCr2Ru
1.0
1.488 0.859 8.683
-1.488 0.859 8.683
0.000 -1.719 8.683
Tl Cr Ru
1 2 1
Direct
0.000 0.000 0.000
0.241 0.241 0.241
0.759 0.759 0.759
0.500 0.500 0.500
```

=====

--- 2 ---
Here is a geometry-optimized TlCr2Ru structure from Alexandria. Energies are from GGA-PBE.

POSCAR file:
```
TlCr2Ru
1.0
-3.539 3.539 2.683
3.539 -3.539 2.683
3.539 3.539 -2.683
Tl Cr Ru
2 4 2
Direct
0.000 0.000 0.000
0.750 0.250 0.500
0.183 0.625 0.058
0.375 0.433 0.558
0.567 0.125 0.942
0.875 0.817 0.442
0.250 0.750 0.500
0.500 0.500 0.000
```

=====

It is 2 that is the least stable of them.

=====

--- 1 ---
Here is a geometry-optimized TlCrRu2 structure from Alexandria. Energies are from GGA-PBE.

POSCAR file:
```
TlCrRu2
1.0
1.432 0.827 8.880
-1.432 0.827 8.880
0.000 -1.653 8.880
Tl Cr Ru
1 1 2
Direct
0.000 0.000 0.000
0.500 0.500 0.500
0.239 0.239 0.239
0.761 0.761 0.761
```

=====

--- 2 ---
Here is a geometry-optimized TlCrRu2 structure from Alexandria. Energies are from GGA-PBE.

POSCAR file:
```
TlCrRu2
1.0
2.877 0.000 0.000
0.000 2.877 0.000
0.000 0.000 7.935
Tl Cr Ru
1 1 2
Direct
0.000 0.000 0.000
0.500 0.500 0.290
0.000 0.000 0.515
0.500 0.500 0.724
```

=====

--- 3 ---
Here is a geometry-optimized TlCrRu2 structure from Alexandria. Energies are from GGA-PBE.

POSCAR file:
```
TlCrRu2
1.0
-3.529 3.529 2.746
3.529 -3.529 2.746
3.529 3.529 -2.746
Tl Cr Ru
2 2 4
Direct
0.000 0.000 0.000
0.750 0.250 0.500
0.250 0.750 0.500
0.500 0.500 0.000
0.193 0.625 0.068
0.375 0.443 0.568
0.557 0.125 0.932
0.875 0.807 0.432
```

=====

--- 4 ---
Here is a geometry-optimized TlCrRu2 structure from Alexandria. Energies are from GGA-PBE.

POSCAR file:
```
TlCrRu2
1.0
4.647 -1.474 0.000
4.647 1.474 0.000
-0.973 0.000 4.691
Tl Cr Ru
1 1 2
Direct
0.000 0.000 0.000
0.765 0.765 0.289
0.240 0.240 0.703
0.503 0.503 0.503
```

=====

It is 3 that is the least stable of them.

=====

--- 1 ---
Here is a geometry-optimized TlCrRu2 structure from Alexandria. Energies are from GGA-PBE.

POSCAR file:
```
TlCrRu2
1.0
-1.456 2.353 4.594
1.456 -2.353 4.594
1.456 2.353 -4.594
Tl Cr Ru
1 1 2
Direct
0.000 0.000 0.000
0.500 0.500 0.000
0.279 0.779 0.500
0.721 0.221 0.500
```

=====

--- 2 ---
Here is a geometry-optimized TlCrRu2 structure from Alexandria. Energies are from GGA-PBE.

POSCAR file:
```
TlCrRu2
1.0
0.000 3.152 3.152
3.152 0.000 3.152
3.152 3.152 0.000
Tl Cr Ru
1 1 2
Direct
0.000 0.000 0.000
0.500 0.500 0.500
0.250 0.250 0.250
0.750 0.750 0.750
```

=====

It is 1 that is the least stable of them.

=====

--- 1 ---
Here is a geometry-optimized TlCrRu2 structure from Alexandria. Energies are from GGA-PBE.

POSCAR file:
```
TlCrRu2
1.0
2.882 0.000 0.000
0.000 3.851 0.000
0.000 0.000 5.763
Tl Cr Ru
1 1 2
Direct
0.000 0.000 0.000
0.500 0.500 0.712
0.000 0.000 0.502
0.500 0.500 0.282
```

=====

--- 2 ---
Here is a geometry-optimized TlCrRu2 structure from Alexandria. Energies are from GGA-PBE.

POSCAR file:
```
TlCrRu2
1.0
0.000 3.187 3.187
3.187 0.000 3.187
3.187 3.187 0.000
Tl Cr Ru
1 1 2
Direct
0.000 0.000 0.000
0.750 0.750 0.750
0.250 0.250 0.250
0.500 0.500 0.500
```

=====

--- 3 ---
Here is a geometry-optimized TlCrRu2 structure from Alexandria. Energies are from GGA-PBE.

POSCAR file:
```
TlCrRu2
1.0
4.501 -1.452 0.000
4.501 1.452 0.000
-1.158 0.000 4.872
Tl Cr Ru
1 1 2
Direct
0.000 0.000 0.000
0.500 0.500 0.500
0.231 0.231 0.706
0.769 0.769 0.294
```

=====

--- 4 ---
Here is a geometry-optimized TlCrRu2 structure from Alexandria. Energies are from GGA-PBE.

POSCAR file:
```
TlCrRu2
1.0
1.426 0.823 8.894
-1.426 0.823 8.894
0.000 -1.647 8.894
Tl Cr Ru
1 1 2
Direct
0.000 0.000 0.000
0.756 0.756 0.756
0.243 0.243 0.243
0.496 0.496 0.496
```

=====

It is 2 that is the least stable of them.

=====

--- 1 ---
Here is a geometry-optimized TlCrRu2 structure from Alexandria. Energies are from GGA-PBE.

POSCAR file:
```
TlCrRu2
1.0
3.003 0.000 0.000
0.000 3.024 0.000
0.000 0.000 6.882
Tl Cr Ru
1 1 2
Direct
0.000 0.000 0.000
0.000 0.000 0.500
0.500 0.500 0.294
0.500 0.500 0.706
```

=====

--- 2 ---
Here is a geometry-optimized TlCrRu2 structure from Alexandria. Energies are from GGA-PBE.

POSCAR file:
```
TlCrRu2
1.0
4.709 0.000 0.000
0.000 2.936 0.000
-1.688 0.000 4.621
Tl Cr Ru
1 1 2
Direct
0.000 0.000 0.000
0.000 0.500 0.500
0.500 0.000 0.500
0.500 0.500 0.000
```

=====

--- 3 ---
Here is a geometry-optimized TlCrRu2 structure from Alexandria. Energies are from GGA-PBE.

POSCAR file:
```
TlCrRu2
1.0
3.151 0.000 0.000
0.000 3.151 0.000
0.000 0.000 6.417
Tl Cr Ru
1 1 2
Direct
0.000 0.000 0.000
0.500 0.500 0.307
0.000 0.000 0.463
0.500 0.500 0.716
```

=====

--- 4 ---
Here is a geometry-optimized TlCrRu2 structure from Alexandria. Energies are from GGA-PBE.

POSCAR file:
```
TlCrRu2
1.0
4.439 0.000 0.000
0.000 4.439 0.000
0.000 0.000 3.229
Tl Cr Ru
1 1 2
Direct
0.000 0.000 0.000
0.500 0.500 0.000
0.000 0.500 0.500
0.500 0.000 0.500
```

=====

It is 3 that is the least stable of them.